1.
The following is a PBE-GGA calculation of a relaxed structure of Y2PaIrO8, from Alexandria via LeMat-Bulk.

Results
Volume in Å³/cell: 173
Theoretical density in g/cm3: 7.01
Uncorrected formation energy in eV/atom: -2.67
Magnetic moment in μB per cell: 2.018
Fermi-level density of states in states/eV/f.u.: 2.2

abc: 5.044 5.044 6.789
angles: 90.00 90.00 91.42
Fractional coordinates of all 12 atoms:
1 Y 0.000 0.000 0.243
2 Y 0.000 0.000 0.757
3 Pa 0.500 0.500 0.500
4 Ir 0.500 0.500 0.000
5 O 0.198 0.198 0.500
6 O 0.226 0.226 0.000
7 O 0.317 0.683 0.233
8 O 0.317 0.683 0.767
9 O 0.683 0.317 0.233
10 O 0.683 0.317 0.767
11 O 0.774 0.774 0.000
12 O 0.802 0.802 0.500


2.
The following is a PBE-GGA calculation of a relaxed structure of YPaIrO6, from Alexandria via LeMat-Bulk.

Results
Volume in Å³/cell: 254
Theoretical density in g/cm3: 7.95
Uncorrected formation energy in eV/atom: -2.56
Magnetic moment in μB per cell: 2.054
Fermi-level density of states in states/eV/f.u.: 6.3

abc: 5.406 5.406 10.041
angles: 90.00 90.00 120.00
Fractional coordinates of all 18 atoms:
1 Y 0.000 0.000 0.000
2 Y 0.000 0.000 0.500
3 Pa 0.333 0.667 0.250
4 Pa 0.667 0.333 0.750
5 Ir 0.333 0.667 0.750
6 Ir 0.667 0.333 0.250
7 O 0.024 0.356 0.635
8 O 0.024 0.668 0.865
9 O 0.332 0.356 0.865
10 O 0.332 0.976 0.635
11 O 0.356 0.024 0.135
12 O 0.356 0.332 0.365
13 O 0.644 0.668 0.635
14 O 0.644 0.976 0.865
15 O 0.668 0.024 0.365
16 O 0.668 0.644 0.135
17 O 0.976 0.332 0.135
18 O 0.976 0.644 0.365


3.
The following is a PBE-GGA calculation of a relaxed structure of IrPb2O5, from Alexandria via LeMat-Bulk.

Results
Volume in Å³/cell: 156
Theoretical density in g/cm3: 7.32
Uncorrected formation energy in eV/atom: -0.84
Magnetic moment in μB per cell: 0.647
Fermi-level density of states in states/eV/f.u.: 3.1

abc: 6.440 5.835 5.975
angles: 66.08 55.92 58.01
Fractional coordinates of all 8 atoms:
1 Ir 0.000 0.000 0.000
2 Pb 0.312 0.312 0.188
3 Pb 0.812 0.812 0.688
4 O 0.110 0.684 0.890
5 O 0.188 0.758 0.242
6 O 0.200 0.200 0.800
7 O 0.684 0.110 0.316
8 O 0.758 0.188 0.812